No. 1
Computed, not measured: an optimized crystal structure of BaTcAs2Br at the PBE level of DFT.

Distance to the lowest polymorph of the same formula (meV/atom): 0
D(E_F) (states/eV/cell): 2.5

a = 4.825 Å, b = 4.825 Å, c = 5.682 Å
α = 90.00°, β = 90.00°, γ = 90.00°
Space group P4/mmm (No. 123)
One atom of each set of equivalent atoms:
1 Ba 0.000 0.000 0.000 x1
2 Tc 0.500 0.500 0.500 x1
3 As 0.000 0.500 0.500 x2
4 Br 0.500 0.500 0.000 x1

---

No. 2
Computed, not measured: an optimized crystal structure of BaTcAs2Br at the PBE level of DFT.

Distance to the lowest polymorph of the same formula (meV/atom): 1791
D(E_F) (states/eV/cell): 5.4

a = 6.092 Å, b = 6.092 Å, c = 5.963 Å
α = 90.00°, β = 90.00°, γ = 90.00°
Space group P4/mmm (No. 123)
One atom of each set of equivalent atoms:
1 Ba 0.000 0.000 0.000 x1
2 Tc 0.500 0.500 0.500 x1
3 As 0.000 0.500 0.000 x2
4 Br 0.000 0.000 0.500 x1

---

No. 3
Computed, not measured: an optimized crystal structure of BaTeAs2Br at the PBE level of DFT.

Distance to the lowest polymorph of the same formula (meV/atom): 799
D(E_F) (states/eV/cell): 4.8

a = 6.522 Å, b = 6.522 Å, c = 5.993 Å
α = 90.00°, β = 90.00°, γ = 90.00°
Space group P4/mmm (No. 123)
One atom of each set of equivalent atoms:
1 Ba 0.000 0.000 0.000 x1
2 Te 0.500 0.500 0.500 x1
3 As 0.000 0.500 0.000 x2
4 Br 0.000 0.000 0.500 x1

---

No. 4
Computed, not measured: an optimized crystal structure of Ba6Te2AsBr3 at the PBE level of DFT.

Electronic total energy (eV for the cell shown): -95.250
D(E_F) (states/eV/cell): 7.8

a = 8.484 Å, b = 14.666 Å, c = 8.278 Å
α = 90.00°, β = 109.96°, γ = 90.00°
Space group C2/m (No. 12)
One atom of each set of equivalent atoms:
1 Ba 0.236 0.000 0.263 x4
2 Ba 0.237 0.158 0.736 x8
3 Te 0.000 0.334 0.500 x4
4 As 0.000 0.000 0.500 x2
5 Br 0.000 0.170 0.000 x4
6 Br 0.000 0.500 0.000 x2

---

No. 5
Computed, not measured: an optimized crystal structure of BaTeAsBr2 at the PBE level of DFT.

Distance to the lowest polymorph of the same formula (meV/atom): 418
D(E_F) (states/eV/cell): 3.1

a = 6.072 Å, b = 6.072 Å, c = 6.950 Å
α = 90.00°, β = 90.00°, γ = 90.00°
Space group P4/mmm (No. 123)
One atom of each set of equivalent atoms:
1 Ba 0.000 0.000 0.000 x1
2 Te 0.500 0.500 0.500 x1
3 As 0.000 0.000 0.500 x1
4 Br 0.000 0.500 0.000 x2

---

No. 6
Computed, not measured: an optimized crystal structure of BaTeAs2Br at the PBE level of DFT.

Distance to the lowest polymorph of the same formula (meV/atom): 0
D(E_F) (states/eV/cell): 2.4

a = 5.373 Å, b = 5.373 Å, c = 5.846 Å
α = 90.00°, β = 90.00°, γ = 90.00°
Space group P4/mmm (No. 123)
One atom of each set of equivalent atoms:
1 Ba 0.000 0.000 0.000 x1
2 Te 0.500 0.500 0.500 x1
3 As 0.000 0.500 0.500 x2
4 Br 0.500 0.500 0.000 x1

---

No. 7
Computed, not measured: an optimized crystal structure of Ba6Te3As2Br at the PBE level of DFT.

Electronic total energy (eV for the cell shown): -100.556
D(E_F) (states/eV/cell): 26.9

a = 21.433 Å, b = 4.843 Å, c = 9.918 Å
α = 90.00°, β = 103.22°, γ = 90.00°
Space group C2/m (No. 12)
One atom of each set of equivalent atoms:
1 Ba 0.007 0.000 0.259 x4
2 Ba 0.172 0.500 0.099 x4
3 Ba 0.172 0.500 0.576 x4
4 Te 0.000 0.500 0.500 x2
5 Te 0.161 0.000 0.836 x4
6 As 0.164 0.000 0.329 x4
7 Br 0.000 0.500 0.000 x2

---

No. 8
Computed, not measured: an optimized crystal structure of BaTeAsBr2 at the PBE level of DFT.

Distance to the lowest polymorph of the same formula (meV/atom): 0
D(E_F) (states/eV/cell): 3.1

a = 5.744 Å, b = 5.744 Å, c = 5.492 Å
α = 90.00°, β = 90.00°, γ = 90.00°
Space group P4/mmm (No. 123)
One atom of each set of equivalent atoms:
1 Ba 0.000 0.000 0.000 x1
2 Te 0.500 0.500 0.500 x1
3 As 0.500 0.500 0.000 x1
4 Br 0.000 0.500 0.500 x2

---

- Number 2 is which compound?
  BaTcAs2Br

---

- Which value of D(E_F) does entry 4 give?
  7.8 states/eV/cell

---

- Number 3 is which compound?
  BaTeAs2Br

---

- What is the D(E_F) in the fifth record?
  3.1 states/eV/cell